# 1
The following is a DFT calculation (PBE) of a geometry-optimized BaTl2Zn structure.

Geometry as POSCAR:
```
BaTl2Zn
1.0
-3.9819 3.7454 -4.2344
2.3475 -6.2638 -1.7514
-3.2879 -2.2417 -0.6552
Ba Tl Zn
1 2 1
direct
0.0000 0.5000 0.5000
0.0000 0.0000 0.0000
0.5000 0.5000 0.0000
0.5000 0.0000 0.5000
```

Computed properties:
Size of the total moment: 0.000 μB per atom
ΔE_f: -0.013 eV per atom

=====

# 2
The following is a DFT calculation (PBE) of a geometry-optimized GeTe3As structure.

Geometry as POSCAR:
```
GeTe3As
1.0
-0.7744 0.0835 3.9059
-6.8905 -1.7460 -1.3289
4.8846 -9.3709 1.1686
Ge Te As
2 6 2
direct
0.7500 0.7738 0.4952
0.2500 0.2262 0.5048
0.2500 0.5142 0.3304
0.7500 0.4858 0.6696
0.2500 0.9678 0.6668
0.7500 0.2564 0.0031
0.7500 0.0322 0.3332
0.2500 0.7436 0.9969
0.7500 0.6221 0.1508
0.2500 0.3779 0.8492
```

Computed properties:
Energy relative to the lowest polymorph listed for this composition: 0.00 eV per formula unit
Size of the total moment: 0.000 μB per atom

=====

# 3
The following is a DFT calculation (PBE) of a geometry-optimized SmAlCd2Ag4 structure.

Geometry as POSCAR:
```
SmAlCd2Ag4
1.0
-3.8452 2.7412 -0.1509
-2.8591 -0.1459 -3.7585
-6.8116 -5.3501 2.4198
Sm Al Cd Ag
1 1 2 4
direct
0.0000 0.0000 0.0000
0.5000 0.5000 0.5000
0.7490 0.7490 0.7529
0.2510 0.2510 0.2471
0.3952 0.3952 0.8145
0.8669 0.8669 0.3992
0.1331 0.1331 0.6008
0.6048 0.6048 0.1855
```

Computed properties:
Size of the total moment: 0.000 μB per atom
ΔE_f: -0.118 eV per atom